Entry 1:
First-principles (PBE-GGA) data for a geometry-optimized ScNi9Sn2 structure, as listed in the Alexandria database.

Values from the calculation:
energy above the most stable polymorph in this dataset: 0.000 eV/f.u.
uncorrected energy: -69.46 eV per cell

abc: 3.7383 3.7383 11.1020
angles: 90.00 90.00 90.00
With the nearest neighbours (Å) after each atom.
Space group P4/mmm (No. 123)
Symmetry-distinct sites (fractional):
1 Sc 0.0000 0.0000 0.0000 (multiplicity 1)  12 Ni 2.63-2.64
2 Ni 0.0000 0.5000 0.1665 (multiplicity 4)  2 Sn 2.62, 8 Ni 2.63-2.64, 2 Sc 2.63
3 Ni 0.0000 0.5000 0.5000 (multiplicity 2)  8 Ni 2.62-2.64, 4 Sn 2.64
4 Ni 0.5000 0.5000 0.0000 (multiplicity 1)  8 Ni 2.63, 4 Sc 2.64
5 Ni 0.5000 0.5000 0.3343 (multiplicity 2)  8 Ni 2.62-2.64, 4 Sn 2.64
6 Sn 0.0000 0.0000 0.3319 (multiplicity 2)  12 Ni 2.62-2.64

---

Entry 2:
First-principles (PBE-GGA) data for a geometry-optimized ScNi2Sn2 structure, as listed in the Alexandria database.

Values from the calculation:
uncorrected energy: -54.42 eV per cell

abc: 4.1745 4.1745 10.9330
angles: 90.00 90.00 90.00
With the nearest neighbours (Å) after each atom.
Space group I4/mmm (No. 139)
Symmetry-distinct sites (fractional):
1 Sc 0.0000 0.0000 0.0000 (multiplicity 2)  8 Sn 3.26, 8 Ni 3.44
2 Ni 0.0000 0.5000 0.2500 (multiplicity 4)  4 Sn 2.49
3 Sn 0.0000 0.0000 0.3739 (multiplicity 4)  4 Ni 2.49, 1 Sn 2.76

---

Entry 3:
First-principles (PBE-GGA) data for a geometry-optimized Sc12Ni6Sn structure, as listed in the Alexandria database.

Values from the calculation:
uncorrected energy: -245.63 eV per cell

abc: 9.0527 9.0527 9.0527
angles: 90.00 90.00 90.00
With the nearest neighbours (Å) after each atom.
Space group Im-3 (No. 204)
Symmetry-distinct sites (fractional):
1 Sc 0.0000 0.2982 0.1888 (multiplicity 24)  1 Ni 2.45
2 Ni 0.0000 0.1311 0.5000 (multiplicity 12)  1 Ni 2.37, 2 Sc 2.45
3 Sn 0.0000 0.0000 0.0000 (multiplicity 2)  12 Sc 3.20

---

Entry 4:
First-principles (PBE-GGA) data for a geometry-optimized ScNi2Sn2 structure, as listed in the Alexandria database.

Values from the calculation:
uncorrected energy: -54.71 eV per cell

abc: 7.2003 7.2003 3.3922
angles: 90.00 90.00 90.00
With the nearest neighbours (Å) after each atom.
Space group P4/mbm (No. 127)
Symmetry-distinct sites (fractional):
1 Sc 0.0000 0.0000 0.0000 (multiplicity 2)  4 Ni 2.86, 8 Sn 3.16
2 Ni 0.1220 0.3780 0.0000 (multiplicity 4)  1 Ni 2.48, 6 Sn 2.70-2.74
3 Sn 0.1720 0.6720 0.5000 (multiplicity 4)  6 Ni 2.70-2.74

---

Entry 5:
First-principles (PBE-GGA) data for a geometry-optimized ScNiSn2 structure, as listed in the Alexandria database.

Values from the calculation:
uncorrected energy: -82.77 eV per cell

abc: 6.8237 6.8237 6.8237
angles: 90.00 90.00 90.00
With the nearest neighbours (Å) after each atom.
Space group Fm-3m (No. 225)
Symmetry-distinct sites (fractional):
1 Sc 0.0000 0.0000 0.0000 (multiplicity 4)  8 Sn 2.95
2 Ni 0.0000 0.0000 0.5000 (multiplicity 4)  8 Sn 2.95
3 Sn 0.2500 0.2500 0.2500 (multiplicity 8)  4 Ni 2.95, 4 Sc 2.95

---

Entry 6:
First-principles (PBE-GGA) data for a geometry-optimized ScNi2Sn2 structure, as listed in the Alexandria database.

Values from the calculation:
uncorrected energy: -56.36 eV per cell

abc: 4.4180 4.5058 9.1742
angles: 90.00 90.00 90.00
With the nearest neighbours (Å) after each atom.
Space group Pmmn (No. 59, origin choice 2)
Symmetry-distinct sites (fractional):
1 Sc 0.2500 0.2500 0.1707 (multiplicity 2)  6 Ni 2.69-2.75
2 Ni 0.2500 0.7500 0.9996 (multiplicity 2)  4 Sn 2.67-2.70, 4 Sc 2.71-2.75
3 Ni 0.2500 0.7500 0.3304 (multiplicity 2)  2 Sc 2.69, 6 Sn 2.69-2.74
4 Sn 0.2500 0.2500 0.4996 (multiplicity 2)  4 Ni 2.70-2.74, 1 Sc 3.02
5 Sn 0.2500 0.2500 0.8367 (multiplicity 2)  6 Ni 2.67-2.70

---

Entry 7:
First-principles (PBE-GGA) data for a geometry-optimized ScNi2Sn2 structure, as listed in the Alexandria database.

Values from the calculation:
uncorrected energy: -53.48 eV per cell

abc: 7.6718 7.6718 3.0222
angles: 90.00 90.00 90.00
With the nearest neighbours (Å) after each atom.
Space group P4/mbm (No. 127)
Symmetry-distinct sites (fractional):
1 Sc 0.0000 0.0000 0.0000 (multiplicity 2)  4 Sn 2.94, 2 Sc 3.02, 8 Ni 3.29
2 Ni 0.1496 0.3504 0.5000 (multiplicity 4)  6 Sn 2.68-2.72
3 Sn 0.1459 0.6459 0.0000 (multiplicity 4)  6 Ni 2.68-2.72, 2 Sc 2.94

---

Entry 8:
First-principles (PBE-GGA) data for a geometry-optimized ScNiSn3 structure, as listed in the Alexandria database.

Values from the calculation:
uncorrected energy: -19.70 eV per cell

abc: 5.4432 5.4432 5.4432
angles: 90.00 90.00 90.00
With the nearest neighbours (Å) after each atom.
Space group Pm-3m (No. 221)
Symmetry-distinct sites (fractional):
1 Sc 0.0000 0.0000 0.0000 (multiplicity 1)  6 Sn 2.72
2 Ni 0.5000 0.5000 0.5000 (multiplicity 1)  12 Sn 3.85
3 Sn 0.0000 0.0000 0.5000 (multiplicity 3)  2 Sc 2.72

---

Entry 9:
First-principles (PBE-GGA) data for a geometry-optimized Sc12Ni5Sn structure, as listed in the Alexandria database.

Values from the calculation:
uncorrected energy: -232.88 eV per cell

abc: 8.7472 8.8122 9.2871
angles: 90.00 90.00 90.00
With the nearest neighbours (Å) after each atom.
Space group Immm (No. 71)
Symmetry-distinct sites (fractional):
1 Sc 0.0000 0.1961 0.2204 (multiplicity 8)  2 Ni 2.49-2.68
2 Sc 0.1996 0.5000 0.1782 (multiplicity 8)  3 Ni 2.51-2.72
3 Sc 0.2147 0.3175 0.5000 (multiplicity 8)  4 Ni 2.74-2.97
4 Ni 0.0000 0.0000 0.0000 (multiplicity 2)  8 Sc 2.68-2.97
5 Ni 0.0000 0.3564 0.0000 (multiplicity 4)  6 Sc 2.49-2.72, 1 Ni 2.53
6 Ni 0.0000 0.5000 0.3719 (multiplicity 4)  1 Ni 2.38, 2 Sc 2.51
7 Sn 0.0000 0.0000 0.5000 (multiplicity 2)  12 Sc 3.11-3.37

---

Entry 10:
First-principles (PBE-GGA) data for a geometry-optimized ScNi9Sn2 structure, as listed in the Alexandria database.

Values from the calculation:
energy above the most stable polymorph in this dataset: 0.795 eV/f.u.
uncorrected energy: -205.99 eV per cell

abc: 4.8633 4.8633 23.7371
angles: 90.00 90.00 120.00
With the nearest neighbours (Å) after each atom.
Space group R-3m (No. 166, hexagonal axes)
Symmetry-distinct sites (fractional):
1 Sc 0.0000 0.0000 0.0000 (multiplicity 3)  18 Ni 2.81-3.13
2 Ni 0.0000 0.0000 0.3338 (multiplicity 6)  6 Ni 2.42
3 Ni 0.0000 0.0000 0.5000 (multiplicity 3)  6 Ni 2.44
4 Ni 0.0032 0.5016 0.9168 (multiplicity 18)  7 Ni 2.41-2.46
5 Sn 0.0000 0.0000 0.1357 (multiplicity 6)  12 Ni 2.73-3.05

---

Entry 11:
First-principles (PBE-GGA) data for a geometry-optimized ScNi5Sn structure, as listed in the Alexandria database.

Values from the calculation:
uncorrected energy: -166.55 eV per cell

abc: 7.8999 4.7684 10.1942
angles: 90.00 90.00 90.00
With the nearest neighbours (Å) after each atom.
Space group Pnma (No. 62)
Symmetry-distinct sites (fractional):
1 Sc 0.2434 0.2500 0.0622 (multiplicity 4)  10 Ni 2.72-3.02
2 Ni 0.0446 0.2500 0.5965 (multiplicity 4)  4 Ni 2.49-2.55, 1 Sn 2.51
3 Ni 0.0650 0.5019 0.8095 (multiplicity 8)  7 Ni 2.37-2.49
4 Ni 0.0858 0.7500 0.0169 (multiplicity 4)  5 Ni 2.42-2.45, 1 Sn 2.69
5 Ni 0.1912 0.7500 0.2401 (multiplicity 4)  7 Ni 2.38-2.55
6 Sn 0.1388 0.2500 0.3614 (multiplicity 4)  8 Ni 2.51-2.72

---

Entry 12:
First-principles (PBE-GGA) data for a geometry-optimized Sc2NiSn2 structure, as listed in the Alexandria database.

Values from the calculation:
energy above the most stable polymorph in this dataset: 0.260 eV/f.u.
uncorrected energy: -57.78 eV per cell

abc: 6.7842 6.7842 4.5473
angles: 90.00 90.00 90.00
With the nearest neighbours (Å) after each atom.
Space group P4/mbm (No. 127)
Symmetry-distinct sites (fractional):
1 Sc 0.1643 0.3357 0.0000 (multiplicity 4)  6 Sn 2.88-3.12, 1 Sc 3.15
2 Ni 0.0000 0.0000 0.5000 (multiplicity 2)  4 Sn 2.58
3 Sn 0.1508 0.6508 0.5000 (multiplicity 4)  2 Ni 2.58, 2 Sc 2.88

---

no.,formation energy (eV/atom)
1,-0.257
2,-0.262
3,-0.429
4,-0.291
5,-0.143
6,-0.456
7,-0.168
8,0.884
9,-0.419
10,-0.191
11,-0.343
12,-0.488